No. 1
Density functional theory data (GGA-PBE) for an optimized crystal structure of Li12Ga2Ag5.

```
data_Li12Ga2Ag5
_chemical_formula_sum 'Li24 Ga4 Ag10'
_space_group_name_H-M_alt 'C 1 2/m 1'
_space_group_IT_number 12
_space_group_name_Hall '-C 2y'
_cell_length_a 11.430
_cell_length_b 8.779
_cell_length_c 8.044
_cell_angle_alpha 90.00
_cell_angle_beta 125.56
_cell_angle_gamma 90.00
loop_
_atom_site_label
_atom_site_type_symbol
_atom_site_fract_x
_atom_site_fract_y
_atom_site_fract_z
Li1 Li 0.070 0.000 0.337
Li2 Li 0.121 0.500 0.499
Li3 Li 0.128 0.324 0.872
Li4 Li 0.176 0.263 0.278
Ga1 Ga 0.000 0.221 0.500
Ag1 Ag 0.000 0.500 0.000
Ag2 Ag 0.146 0.000 0.069
Ag3 Ag 0.193 0.000 0.757
```

Values from the calculation:
Uncorrected energy, eV per atom: -2.45
Magnetization, μB/f.u.: 0.00
Energy of formation, kJ/mol of atoms: -16
Theoretical density, g/cm³: 3.85

No. 2
Density functional theory data (GGA-PBE) for an optimized crystal structure of Ti2BeZnH.

```
data_Ti2BeZnH
_chemical_formula_sum 'Ti2 Be1 Zn1 H1'
_space_group_name_H-M_alt 'P 4/m m m'
_space_group_IT_number 123
_space_group_name_Hall '-P 4 2'
_cell_length_a 4.013
_cell_length_b 4.013
_cell_length_c 3.600
_cell_angle_alpha 90.00
_cell_angle_beta 90.00
_cell_angle_gamma 90.00
loop_
_atom_site_label
_atom_site_type_symbol
_atom_site_fract_x
_atom_site_fract_y
_atom_site_fract_z
Ti1 Ti 0.000 0.500 0.000
Be1 Be 0.000 0.000 0.500
Zn1 Zn 0.500 0.500 0.500
H1 H 0.000 0.000 0.000
```

Values from the calculation:
Uncorrected energy, eV per atom: -5.00
Magnetization, μB/f.u.: 0.00
Energy above the most stable polymorph in this dataset, eV per atom: 0.000
Theoretical density, g/cm³: 4.90

No. 3
Density functional theory data (GGA-PBE) for an optimized crystal structure of Pr5HoMg.

```
data_Pr5HoMg
_chemical_formula_sum 'Pr20 Ho4 Mg4'
_space_group_name_H-M_alt 'C 1 2/c 1'
_space_group_IT_number 15
_space_group_name_Hall '-C 2yc'
_cell_length_a 8.806
_cell_length_b 9.717
_cell_length_c 12.070
_cell_angle_alpha 90.00
_cell_angle_beta 111.11
_cell_angle_gamma 90.00
loop_
_atom_site_label
_atom_site_type_symbol
_atom_site_fract_x
_atom_site_fract_y
_atom_site_fract_z
Pr1 Pr 0.000 0.136 0.250
Pr2 Pr 0.115 0.343 0.536
Pr3 Pr 0.207 0.188 0.843
Ho1 Ho 0.000 0.493 0.250
Mg1 Mg 0.000 0.000 0.000
```

Values from the calculation:
Uncorrected energy, eV per atom: -4.19
Magnetization, μB/f.u.: 0.00
Energy of formation, kJ/mol of atoms: 10
Theoretical density, g/cm³: 6.16

No. 4
Density functional theory data (GGA-PBE) for an optimized crystal structure of Pm6Sm3Ho2Sc.

```
data_Pm6Sm3Ho2Sc
_chemical_formula_sum 'Pm12 Sm6 Ho4 Sc2'
_space_group_name_H-M_alt 'C 1 2/m 1'
_space_group_IT_number 12
_space_group_name_Hall '-C 2y'
_cell_length_a 6.238
_cell_length_b 10.805
_cell_length_c 11.840
_cell_angle_alpha 90.00
_cell_angle_beta 100.09
_cell_angle_gamma 90.00
loop_
_atom_site_label
_atom_site_type_symbol
_atom_site_fract_x
_atom_site_fract_y
_atom_site_fract_z
Pm1 Pm 0.247 0.165 0.245
Pm2 Pm 0.249 0.000 0.755
Sm1 Sm 0.000 0.167 0.500
Sm2 Sm 0.000 0.500 0.500
Ho1 Ho 0.000 0.333 0.000
Sc1 Sc 0.000 0.000 0.000
```

Values from the calculation:
Uncorrected energy, eV per atom: -4.82
Magnetization, μB/f.u.: 0.00
Energy of formation, kJ/mol of atoms: 3
Theoretical density, g/cm³: 7.17

No. 5
Density functional theory data (GGA-PBE) for an optimized crystal structure of CsRb2TeF6.

```
data_CsRb2TeF6
_chemical_formula_sum 'Cs2 Rb4 Te2 F12'
_space_group_name_H-M_alt 'I 4/m m m'
_space_group_IT_number 139
_space_group_name_Hall '-I 4 2'
_cell_length_a 6.902
_cell_length_b 6.902
_cell_length_c 11.043
_cell_angle_alpha 90.00
_cell_angle_beta 90.00
_cell_angle_gamma 90.00
loop_
_atom_site_label
_atom_site_type_symbol
_atom_site_fract_x
_atom_site_fract_y
_atom_site_fract_z
Cs1 Cs 0.000 0.000 0.000
Rb1 Rb 0.000 0.500 0.250
Te1 Te 0.000 0.000 0.500
F1 F 0.000 0.000 0.255
F2 F 0.215 0.215 0.500
```

Values from the calculation:
Uncorrected energy, eV per atom: -3.99
Magnetization, μB/f.u.: 1.00
Theoretical density, g/cm³: 3.44

No. 6
Density functional theory data (GGA-PBE) for an optimized crystal structure of Ac2PmRu.

```
data_Ac2PmRu
_chemical_formula_sum 'Ac6 Pm3 Ru3'
_space_group_name_H-M_alt 'R -3 m'
_space_group_IT_number 166
_space_group_name_Hall '-R 3 2"'
_cell_length_a 4.0933
_cell_length_b 4.0933
_cell_length_c 29.2529
_cell_angle_alpha 90.00
_cell_angle_beta 90.00
_cell_angle_gamma 120.00
loop_
_atom_site_label
_atom_site_type_symbol
_atom_site_fract_x
_atom_site_fract_y
_atom_site_fract_z
Ac1 Ac 0.0000 0.0000 0.2244
Pm1 Pm 0.0000 0.0000 0.0000
Ru1 Ru 0.0000 0.0000 0.5000
```

Values from the calculation:
Uncorrected energy, eV per atom: -5.52
Magnetization, μB/f.u.: 0.00
Energy of formation, kJ/mol of atoms: 4
Energy above the most stable polymorph in this dataset, eV per atom: 0.181
Theoretical density, g/cm³: 8.22

No. 7
Density functional theory data (GGA-PBE) for an optimized crystal structure of BeInTe2.

```
data_BeInTe2
_chemical_formula_sum 'Be2 In2 Te4'
_space_group_name_H-M_alt 'C 1 m 1'
_space_group_IT_number 8
_space_group_name_Hall 'C -2y'
_cell_length_a 11.954
_cell_length_b 3.763
_cell_length_c 6.165
_cell_angle_alpha 90.00
_cell_angle_beta 90.30
_cell_angle_gamma 90.00
loop_
_atom_site_label
_atom_site_type_symbol
_atom_site_fract_x
_atom_site_fract_y
_atom_site_fract_z
Be1 Be 0.000 0.000 0.000
In1 In 0.184 0.500 0.000
Te1 Te 0.437 0.000 0.751
Te2 Te 0.438 0.000 0.249
```

Values from the calculation:
Uncorrected energy, eV per atom: -3.07
Magnetization, μB/f.u.: 0.00
Energy above the most stable polymorph in this dataset, eV per atom: 0.291
Theoretical density, g/cm³: 4.54

No. 8
Density functional theory data (GGA-PBE) for an optimized crystal structure of Sm2Y2TmMg.

```
data_Sm2Y2TmMg
_chemical_formula_sum 'Sm8 Y8 Tm4 Mg4'
_space_group_name_H-M_alt 'I b a m'
_space_group_IT_number 72
_space_group_name_Hall '-I 2 2c'
_cell_length_a 6.775
_cell_length_b 17.605
_cell_length_c 6.411
_cell_angle_alpha 90.00
_cell_angle_beta 90.00
_cell_angle_gamma 90.00
loop_
_atom_site_label
_atom_site_type_symbol
_atom_site_fract_x
_atom_site_fract_y
_atom_site_fract_z
Sm1 Sm 0.164 0.152 0.000
Y1 Y 0.159 0.349 0.000
Tm1 Tm 0.000 0.000 0.250
Mg1 Mg 0.000 0.500 0.250
```

Values from the calculation:
Uncorrected energy, eV per atom: -4.55
Magnetization, μB/f.u.: 0.00
Energy of formation, kJ/mol of atoms: 18
Theoretical density, g/cm³: 5.84

No. 9
Density functional theory data (GGA-PBE) for an optimized crystal structure of Cs3KRbAu.

```
data_Cs3KRbAu
_chemical_formula_sum 'Cs12 K4 Rb4 Au4'
_space_group_name_H-M_alt 'C m c m'
_space_group_IT_number 63
_space_group_name_Hall '-C 2c 2'
_cell_length_a 12.489
_cell_length_b 15.958
_cell_length_c 10.387
_cell_angle_alpha 90.00
_cell_angle_beta 90.00
_cell_angle_gamma 90.00
loop_
_atom_site_label
_atom_site_type_symbol
_atom_site_fract_x
_atom_site_fract_y
_atom_site_fract_z
Cs1 Cs 0.000 0.242 0.250
Cs2 Cs 0.197 0.000 0.000
K1 K 0.000 0.471 0.750
Rb1 Rb 0.000 0.206 0.750
Au1 Au 0.000 0.015 0.250
```

Values from the calculation:
Uncorrected energy, eV per atom: -1.38
Magnetization, μB/f.u.: 0.00
Energy of formation, kJ/mol of atoms: -6
Theoretical density, g/cm³: 2.31

No. 10
Density functional theory data (GGA-PBE) for an optimized crystal structure of LaNdEuEr.

```
data_LaNdEuEr
_chemical_formula_sum 'La4 Nd4 Eu4 Er4'
_space_group_name_H-M_alt 'F -4 3 m'
_space_group_IT_number 216
_space_group_name_Hall 'F -4 2 3'
_cell_length_a 8.306
_cell_length_b 8.306
_cell_length_c 8.306
_cell_angle_alpha 90.00
_cell_angle_beta 90.00
_cell_angle_gamma 90.00
loop_
_atom_site_label
_atom_site_type_symbol
_atom_site_fract_x
_atom_site_fract_y
_atom_site_fract_z
La1 La 0.000 0.000 0.000
Nd1 Nd 0.000 0.000 0.500
Eu1 Eu 0.250 0.250 0.750
Er1 Er 0.250 0.250 0.250
```

Values from the calculation:
Uncorrected energy, eV per atom: -6.01
Magnetization, μB/f.u.: 7.66
Energy of formation, kJ/mol of atoms: 12
Theoretical density, g/cm³: 6.98

No. 11
Density functional theory data (GGA-PBE) for an optimized crystal structure of FeRe2Pt.

```
data_FeRe2Pt
_chemical_formula_sum 'Fe1 Re2 Pt1'
_space_group_name_H-M_alt 'P 4/m m m'
_space_group_IT_number 123
_space_group_name_Hall '-P 4 2'
_cell_length_a 3.201
_cell_length_b 3.201
_cell_length_c 5.671
_cell_angle_alpha 90.00
_cell_angle_beta 90.00
_cell_angle_gamma 90.00
loop_
_atom_site_label
_atom_site_type_symbol
_atom_site_fract_x
_atom_site_fract_y
_atom_site_fract_z
Fe1 Fe 0.000 0.000 0.000
Re1 Re 0.500 0.500 0.216
Pt1 Pt 0.000 0.000 0.500
```

Values from the calculation:
Uncorrected energy, eV per atom: -9.64
Magnetization, μB/f.u.: 1.99
Energy of formation, kJ/mol of atoms: 20
Energy above the most stable polymorph in this dataset, eV per atom: 0.230
Theoretical density, g/cm³: 17.81

No. 12
Density functional theory data (GGA-PBE) for an optimized crystal structure of Rb4Dy3ThS8.

```
data_Rb4Dy3ThS8
_chemical_formula_sum 'Rb12 Dy9 Th3 S24'
_space_group_name_H-M_alt 'R -3 m'
_space_group_IT_number 166
_space_group_name_Hall '-R 3 2"'
_cell_length_a 8.1905
_cell_length_b 8.1905
_cell_length_c 23.1247
_cell_angle_alpha 90.00
_cell_angle_beta 90.00
_cell_angle_gamma 120.00
loop_
_atom_site_label
_atom_site_type_symbol
_atom_site_fract_x
_atom_site_fract_y
_atom_site_fract_z
Rb1 Rb 0.0000 0.0000 0.0000
Rb2 Rb 0.0000 0.5000 0.0000
Dy1 Dy 0.0000 0.5000 0.5000
Th1 Th 0.0000 0.0000 0.5000
S1 S 0.0000 0.0000 0.2306
S2 S 0.0026 0.5013 0.7683
```

Values from the calculation:
Uncorrected energy, eV per atom: -5.43
Magnetization, μB/f.u.: 0.00
Theoretical density, g/cm³: 4.89

Copy entry 8 word for word.
Density functional theory data (GGA-PBE) for an optimized crystal structure of Sm2Y2TmMg.

```
data_Sm2Y2TmMg
_chemical_formula_sum 'Sm8 Y8 Tm4 Mg4'
_space_group_name_H-M_alt 'I b a m'
_space_group_IT_number 72
_space_group_name_Hall '-I 2 2c'
_cell_length_a 6.775
_cell_length_b 17.605
_cell_length_c 6.411
_cell_angle_alpha 90.00
_cell_angle_beta 90.00
_cell_angle_gamma 90.00
loop_
_atom_site_label
_atom_site_type_symbol
_atom_site_fract_x
_atom_site_fract_y
_atom_site_fract_z
Sm1 Sm 0.164 0.152 0.000
Y1 Y 0.159 0.349 0.000
Tm1 Tm 0.000 0.000 0.250
Mg1 Mg 0.000 0.500 0.250
```

Values from the calculation:
Uncorrected energy, eV per atom: -4.55
Magnetization, μB/f.u.: 0.00
Energy of formation, kJ/mol of atoms: 18
Theoretical density, g/cm³: 5.84